No. 1
The following is a PBE calculation of crystalline SiTc5B2 at its relaxed geometry, from Alexandria.

Geometry as POSCAR:
```
SiTc5B2
1.0
-3.056 3.056 5.177
3.056 -3.056 5.177
3.056 3.056 -5.177
Si Tc B
2 10 4
direct
0.250 0.250 0.000 Si
0.750 0.750 0.000 Si
0.000 0.000 0.000 Tc
0.012 0.512 0.800 Tc
0.212 0.012 0.500 Tc
0.288 0.788 0.800 Tc
0.488 0.288 0.500 Tc
0.500 0.500 0.000 Tc
0.512 0.712 0.500 Tc
0.712 0.212 0.200 Tc
0.788 0.988 0.500 Tc
0.988 0.488 0.200 Tc
0.141 0.359 0.500 B
0.359 0.859 0.217 B
0.641 0.141 0.783 B
0.859 0.641 0.500 B
```

**Crystal system**: tetragonal
**Space-group type**: I4/mcm
**Electronic total energy**: -9.141 eV per atom
**Density of states at the Fermi level**: 16.10 states/eV/cell
**E_form (uncorrected)**: -0.315 eV/atom
**Total magnetization**: 0.00 μB/cell

No. 2
The following is a PBE calculation of crystalline MgCdO2 at its relaxed geometry, from Alexandria.

Geometry as POSCAR:
```
MgCdO2
1.0
1.589 0.918 6.043
-1.589 0.918 6.043
0.000 -1.835 6.043
Mg Cd O
1 1 2
direct
0.000 0.000 0.000 Mg
0.500 0.500 0.500 Cd
0.391 0.391 0.391 O
0.609 0.609 0.609 O
```

**Crystal system**: trigonal
**Space-group type**: R-3m
**Electronic total energy**: -4.699 eV per atom
**Density of states at the Fermi level**: 0.00 states/eV/cell
**Energy above the lowest structure with this stoichiometry**: 206 meV/atom
**E_form (uncorrected)**: -1.593 eV/atom
**Total magnetization**: 0.00 μB/cell